Entry from Alexandria via LeMat-Bulk: GdScNiRu after structural relaxation (PBE).

- space-group type = F-43m
- ΔH_f (0 K) (meV per atom) = -408
- electronic total energy (eV per atom) = -9.276

The structure in extended XYZ format:
```
4
Lattice="4.6830 0.0000 0.0000 2.3415 4.0556 0.0000 2.3415 1.3519 3.8237" Properties=species:S:1:pos:R:3 pbc="T T T"
Ni 4.6830 2.7038 1.9118
Sc 7.0246 4.0556 2.8678
Gd 2.3415 1.3519 0.9559
Ru 0.0000 0.0000 0.0000
```